--- A ---
DFT (PBE) results for a relaxed structure of AsAuBr2O.

Symmetry: No. 123

a b c (Å): 5.1673 5.1673 5.1037
angles (deg): 90.00 90.00 90.00
Closest atoms and distances in Å follow each position.
Fractional coordinates of all 5 atoms:
As  0.0000  0.0000  0.5000  2 Au 2.55
Br  0.0000  0.5000  0.0000  2 Au 2.58
O  0.5000  0.5000  0.5000  8 Br 3.63, 4 As 3.65
Au  0.0000  0.0000  0.0000  2 As 2.55, 4 Br 2.58
Br  0.5000  0.0000  0.0000  2 Au 2.58

***

--- B ---
DFT (PBE) results for a relaxed structure of AsAuBr2O.

Symmetry: No. 123

a b c (Å): 5.8209 5.8209 3.6501
angles (deg): 90.00 90.00 90.00
Closest atoms and distances in Å follow each position.
Fractional coordinates of all 5 atoms:
Br  0.5000  0.0000  0.0000  2 O 2.91
Br  0.0000  0.5000  0.0000  2 O 2.91
Au  0.5000  0.5000  0.5000  8 Br 3.44, 2 Au 3.65
As  0.0000  0.0000  0.5000  2 O 1.83
O  0.0000  0.0000  0.0000  2 As 1.83

***

Question: of the structures shown, which is the most stable? Reply: B.